A plane-wave DFT calculation with GGA-PBEsol was carried out for crystalline Li7Ti7Nb5O30 at its relaxed geometry.

* calculated density: 4.1 g/cm3
* M_tot: 0.000 μB per formula unit
* E_form (uncorrected): -2.67 eV per atom
* D(E_F): 0.00 states/eV/f.u.

a b c (Å): 5.1159 5.1159 23.4945
angles (deg): 90.00 90.00 120.00
Closest atoms and distances in Å follow each position.
Space group P3 (No. 143)
One atom of each set of equivalent atoms:
Li 0.0000 0.0000 0.0000 x1  6 O 2.12-2.19
Li 0.0000 0.0000 0.1572 x1  3 O 2.02
Li 0.0000 0.0000 0.4490 x1  3 O 2.06
Li 0.0000 0.0000 0.7071 x1  3 O 1.94
Li 0.3333 0.6667 0.8780 x1  6 O 1.97-2.01
Li 0.6667 0.3333 0.5435 x1  3 O 1.94
Li 0.6667 0.3333 0.8061 x1  3 O 1.99
Ti 0.3333 0.6667 0.1006 x1  3 O 1.86
Ti 0.3333 0.6667 0.3653 x1  6 O 1.88-2.07
Ti 0.3333 0.6667 0.4886 x1  3 O 1.85
Ti 0.3333 0.6667 0.9770 x1  3 O 1.85
Ti 0.6667 0.3333 0.0699 x1  3 O 1.86
Ti 0.6667 0.3333 0.1950 x1  3 O 1.84
Ti 0.6667 0.3333 0.3879 x1  3 O 1.88
Nb 0.0000 0.0000 0.2808 x1  6 O 1.91-2.11
Nb 0.0000 0.0000 0.5771 x1  6 O 1.95-2.02
Nb 0.0000 0.0000 0.8774 x1  6 O 2.00-2.01
Nb 0.3333 0.6667 0.7709 x1  6 O 1.94-2.07
Nb 0.6667 0.3333 0.6742 x1  6 O 1.94-2.04
O 0.0173 0.3971 0.4257 x3  2 Ti 1.88-2.07, 1 Li 2.06
O 0.0230 0.3875 0.0380 x3  1 Ti 1.86
O 0.0335 0.7055 0.5246 x3  1 Ti 1.85, 1 Li 1.94, 1 Nb 2.02
O 0.0464 0.3397 0.8278 x3  2 Li 1.97-1.99, 2 Nb 2.00-2.07
O 0.0850 0.7530 0.9331 x3  1 Ti 1.85, 1 Li 2.01, 1 Nb 2.01
O 0.3271 0.0525 0.2334 x3  1 Ti 1.84, 1 Nb 1.91
O 0.3322 0.0578 0.6265 x3  2 Nb 1.94-1.95
O 0.3333 0.3276 0.3347 x3  1 Ti 1.88
O 0.3707 0.3611 0.7283 x3  1 Li 1.94, 2 Nb 1.94-2.04
O 0.3899 0.3662 0.1332 x3  1 Ti 1.86, 1 Li 2.02